(1)
U2MnGe4Ir3 after structural relaxation. Source: Alexandria via LeMat-Bulk, functional PBE.

Unit cell a=4.1148 b=4.1148 c=10.5503 alpha=90.00 beta=90.00 gamma=90.00
With the nearest neighbours (Å) after each atom.
Atoms (fractional coordinates):
U 0.5000 0.0000 0.2455  6 Ir 3.13-3.38, 8 Ge 3.18-3.31, 2 Mn 3.38
U 0.0000 0.5000 0.7545  6 Ir 3.13-3.38, 8 Ge 3.18-3.31, 2 Mn 3.38
Mn 0.5000 0.5000 0.5000  4 Ge 2.50
Ge 0.5000 0.5000 0.0000  4 Ir 2.51
Ge 0.0000 0.0000 0.0000  4 Ir 2.51
Ge 0.5000 0.0000 0.6338  3 Ir 2.43-2.50, 2 Mn 2.50
Ge 0.0000 0.5000 0.3662  3 Ir 2.43-2.50, 2 Mn 2.50
Ir 0.0000 0.0000 0.5000  4 Ge 2.50
Ir 0.5000 0.0000 0.8645  5 Ge 2.43-2.51
Ir 0.0000 0.5000 0.1355  5 Ge 2.43-2.51

- Formation enthalpy at 0 K: -0.3803 eV per atom

(2)
RbAl8Zn6 after structural relaxation. Source: Alexandria via LeMat-Bulk, functional PBE.

Unit cell a=6.8369 b=6.8369 c=6.8369 alpha=72.67 beta=72.67 gamma=72.67
With the nearest neighbours (Å) after each atom.
Atoms (fractional coordinates):
Rb 0.0000 0.0000 0.0000  8 Al 3.31-3.46, 6 Zn 3.43
Al 0.1992 0.5204 0.8583  4 Zn 2.64-2.84, 4 Al 2.72-2.87
Al 0.1417 0.8008 0.4796  4 Zn 2.64-2.84, 4 Al 2.72-2.87
Al 0.4796 0.1417 0.8008  4 Zn 2.64-2.84, 4 Al 2.72-2.87
Al 0.7788 0.7788 0.7788  3 Zn 2.67, 3 Al 2.72
Al 0.2212 0.2212 0.2212  3 Zn 2.67, 3 Al 2.72
Al 0.5204 0.8583 0.1992  4 Zn 2.64-2.84, 4 Al 2.72-2.87
Al 0.8583 0.1992 0.5204  4 Zn 2.64-2.84, 4 Al 2.72-2.87
Al 0.8008 0.4796 0.1417  4 Zn 2.64-2.84, 4 Al 2.72-2.87
Zn 0.1729 0.3633 0.5610  5 Al 2.64-2.84, 3 Zn 2.72
Zn 0.4390 0.8271 0.6367  5 Al 2.64-2.84, 3 Zn 2.72
Zn 0.6367 0.4390 0.8271  5 Al 2.64-2.84, 3 Zn 2.72
Zn 0.3633 0.5610 0.1729  5 Al 2.64-2.84, 3 Zn 2.72
Zn 0.5610 0.1729 0.3633  5 Al 2.64-2.84, 3 Zn 2.72
Zn 0.8271 0.6367 0.4390  5 Al 2.64-2.84, 3 Zn 2.72

- Formation enthalpy at 0 K: 0.0813 eV per atom

(3)
LaSbBr2 after structural relaxation. Source: Alexandria via LeMat-Bulk, functional PBE.

Unit cell a=5.9650 b=5.9650 c=5.9650 alpha=132.16 beta=132.16 gamma=69.98
With the nearest neighbours (Å) after each atom.
Atoms (fractional coordinates):
Sb 0.7500 0.2500 0.5000  4 La 3.42, 8 Br 3.44
Br 0.0000 0.0000 0.0000  4 Br 3.42, 4 La 3.44, 4 Sb 3.44
Br 0.5000 0.5000 0.0000  4 Br 3.42, 4 Sb 3.44, 4 La 3.44
La 0.2500 0.7500 0.5000  4 Sb 3.42, 8 Br 3.44

- Uncorrected formation energy: -943 meV per atom
- ΔE to the lowest computed polymorph: 241 meV per atom

(4)
U6AsS4 after structural relaxation. Source: Alexandria via LeMat-Bulk, functional PBE.

Unit cell a=3.7375 b=7.1391 c=18.3215 alpha=90.00 beta=90.00 gamma=105.17
With the nearest neighbours (Å) after each atom.
Atoms (fractional coordinates):
U 0.5000 0.0000 0.0000  6 S 2.62-2.74
U 0.5000 0.0000 0.5000  6 S 2.62-2.74
U 0.0338 0.0676 0.3218  1 U 2.63, 3 S 2.75-2.79, 2 As 2.93
U 0.9662 0.9324 0.6782  1 U 2.63, 3 S 2.75-2.79, 2 As 2.93
U 0.9662 0.9324 0.8218  1 U 2.63, 3 S 2.75-2.79, 2 As 2.93
U 0.0338 0.0676 0.1782  1 U 2.63, 3 S 2.75-2.79, 2 As 2.93
U 0.7669 0.5337 0.4114  5 S 2.75-2.81
U 0.2331 0.4663 0.5886  5 S 2.75-2.81
U 0.2331 0.4663 0.9114  5 S 2.75-2.81
U 0.7669 0.5337 0.0886  5 S 2.75-2.81
U 0.3219 0.6438 0.2500  2 S 2.58, 2 As 2.83
U 0.6781 0.3562 0.7500  2 S 2.58, 2 As 2.83
As 0.6673 0.3347 0.2500  6 U 2.83-2.93
As 0.3327 0.6653 0.7500  6 U 2.83-2.93
S 0.8674 0.7349 0.5452  6 U 2.74-2.81
S 0.4059 0.8117 0.1242  6 U 2.58-2.75
S 0.1326 0.2651 0.4548  6 U 2.74-2.81
S 0.5941 0.1883 0.8758  6 U 2.58-2.75
S 0.8674 0.7349 0.9548  6 U 2.74-2.81
S 0.1326 0.2651 0.0452  6 U 2.74-2.81
S 0.5941 0.1883 0.6242  6 U 2.58-2.75
S 0.4059 0.8117 0.3758  6 U 2.58-2.75

- Uncorrected formation energy: -996 meV per atom

Sequential total energy output: -80.60, -37.33, -16.17, -199.69 eV for the cell shown